# 1
Entry from OQMD: an optimized crystal structure of Tb3HoC2S2 (PBE-GGA).

Values from the calculation:
Spin magnetization, μB/f.u.: 0.0
Space-group type: P3m1, No. 156
Crystal system: trigonal
Volume, Å³ per cell: 155
Uncorrected energy, eV per atom: -6.89

Lattice parameters (Å, degrees): 3.717 3.717 12.953 90.00 90.00 120.00
Sites, in units of the cell vectors:
C 0.667 0.333 0.500
C 0.667 0.333 0.999
S 0.333 0.667 0.752
S 0.000 0.000 0.250
Tb 0.333 0.667 0.395
Tb 0.000 0.000 0.605
Tb 0.333 0.667 0.104
Ho 0.000 0.000 0.896

***

# 2
Entry from OQMD: an optimized crystal structure of TbHoCS (PBE-GGA).

Values from the calculation:
Spin magnetization, μB/f.u.: 0.0
Space-group type: P-3m1, No. 164
Crystal system: trigonal
Volume, Å³ per cell: 154
Uncorrected energy, eV per atom: -6.89

Lattice parameters (Å, degrees): 3.706 3.706 12.914 90.00 90.00 120.00
Sites, in units of the cell vectors:
S 0.667 0.333 0.753
S 0.333 0.667 0.247
C 0.000 0.000 0.000
C 0.000 0.000 0.500
Tb 0.333 0.667 0.606
Tb 0.667 0.333 0.394
Ho 0.667 0.333 0.103
Ho 0.333 0.667 0.897

***

# 3
Entry from OQMD: an optimized crystal structure of TbHoCS (PBE-GGA).

Values from the calculation:
Spin magnetization, μB/f.u.: 0.0
Space-group type: P6_3mc, No. 186
Crystal system: hexagonal
Volume, Å³ per cell: 154
Uncorrected energy, eV per atom: -6.89

Lattice parameters (Å, degrees): 3.706 3.706 12.913 90.00 90.00 120.00
Sites, in units of the cell vectors:
Tb 0.667 0.333 0.104
Tb 0.333 0.667 0.604
Ho 0.667 0.333 0.395
Ho 0.333 0.667 0.895
S 0.667 0.333 0.751
S 0.333 0.667 0.251
C 0.000 0.000 0.999
C 0.000 0.000 0.499

***

no.,theoretical density (g/cm³)
1,7.8
2,8.0
3,8.0